--- i ---
Hf2ZrInH: relaxed, PBE.

Crystal system: tetragonal
Total moment: 0.0 μB per formula unit

a = 4.280 Å, b = 4.280 Å, c = 4.937 Å
α = 90.00°, β = 90.00°, γ = 90.00°
Space group P4/mmm (No. 123)
Unique sites:
Hf  0.000  0.500  0.000 (multiplicity 2)
Zr  0.000  0.000  0.500 (multiplicity 1)
In  0.500  0.500  0.500 (multiplicity 1)
H  0.500  0.500  0.000 (multiplicity 1)

***

--- ii ---
Hf2ZrInH: relaxed, PBE.

Crystal system: tetragonal
Total moment: 0.0 μB per formula unit

a = 4.451 Å, b = 4.451 Å, c = 4.461 Å
α = 90.00°, β = 90.00°, γ = 90.00°
Space group P4/mmm (No. 123)
Unique sites:
Hf  0.000  0.500  0.000 (multiplicity 2)
Zr  0.000  0.000  0.500 (multiplicity 1)
In  0.500  0.500  0.500 (multiplicity 1)
H  0.000  0.000  0.000 (multiplicity 1)

***

Top of the stability list: ii, leading by 0.119 eV/atom.

***

--- i ---
HfZr2InH: relaxed, PBE.

Crystal system: tetragonal
Total moment: 0.0 μB per formula unit

a = 4.289 Å, b = 4.289 Å, c = 4.960 Å
α = 90.00°, β = 90.00°, γ = 90.00°
Space group P4/mmm (No. 123)
Unique sites:
Hf  0.000  0.000  0.000 (multiplicity 1)
Zr  0.000  0.500  0.500 (multiplicity 2)
In  0.500  0.500  0.000 (multiplicity 1)
H  0.500  0.500  0.500 (multiplicity 1)

***

--- ii ---
HfZr2InH: relaxed, PBE.

Crystal system: tetragonal
Total moment: 0.0 μB per formula unit

a = 4.475 Å, b = 4.475 Å, c = 4.463 Å
α = 90.00°, β = 90.00°, γ = 90.00°
Space group P4/mmm (No. 123)
Unique sites:
Hf  0.000  0.000  0.000 (multiplicity 1)
Zr  0.000  0.500  0.500 (multiplicity 2)
In  0.500  0.500  0.000 (multiplicity 1)
H  0.000  0.000  0.500 (multiplicity 1)

***

Top of the stability list: ii, leading by 0.135 eV/atom.